*one*
This record from Alexandria describes crystalline LaPmCo2 at its relaxed geometry. The functional is PBE.

total magnetic moment: 0.8 μB/f.u.

a = 4.9193 Å, b = 4.9193 Å, c = 3.4711 Å
α = 90.00°, β = 90.00°, γ = 90.00°
Space group P4/mmm (No. 123)
One atom of each set of equivalent atoms:
La1 0.0000 0.0000 0.0000 (multiplicity 1)
Pm1 0.5000 0.5000 0.0000 (multiplicity 1)
Co1 0.0000 0.5000 0.5000 (multiplicity 2)

*two*
This record from Alexandria describes crystalline LaPmCo2 at its relaxed geometry. The functional is PBE.

total magnetic moment: 0.2 μB/f.u.

a = 3.9245 Å, b = 3.9924 Å, c = 11.2339 Å
α = 90.00°, β = 90.00°, γ = 90.00°
Space group Amm2 (No. 38)
One atom of each set of equivalent atoms:
La1 0.0000 0.0000 0.0000 (multiplicity 2)
Pm1 0.5000 0.0000 0.2792 (multiplicity 2)
Co1 0.0000 0.0000 0.6979 (multiplicity 2)
Co2 0.5000 0.0000 0.5834 (multiplicity 2)

*three*
This record from Alexandria describes crystalline LaPmCo2 at its relaxed geometry. The functional is PBE.

total magnetic moment: 0.0 μB/f.u.

a = 3.9166 Å, b = 5.8577 Å, c = 7.6976 Å
α = 90.00°, β = 90.00°, γ = 90.00°
Space group Pmc2_1 (No. 26)
One atom of each set of equivalent atoms:
La1 0.0000 0.1273 0.0000 (multiplicity 2)
Pm1 0.5000 0.3734 0.3585 (multiplicity 2)
Co1 0.0000 0.3485 0.6496 (multiplicity 2)
Co2 0.5000 0.1558 0.7087 (multiplicity 2)

Short version: *one* is the least stable of them.